The following is a DFT calculation (PBE+U) of an optimized crystal structure of Rb2AcNiF8.

Cell: 4.484 6.390 7.493 Å, 90.05 89.97 95.52°
Site moments in Bohr magnetons follow the coordinates.
Sites, in units of the cell vectors:
Rb: 0.499 0.500 0.775  0.00
Rb: 0.501 0.500 0.225  0.00
Ac: 0.000 0.000 0.500  0.00
Ni: 0.000 0.000 0.000  2.28
F: 0.081 0.810 0.209  0.08
F: 0.640 0.838 0.000  0.20
F: 0.920 0.190 0.209  0.08
F: 0.919 0.190 0.791  0.08
F: 0.360 0.162 0.000  0.20
F: 0.080 0.810 0.791  0.08
F: 0.512 0.786 0.500  0.00
F: 0.488 0.214 0.500  0.00

Calculated values
Fermi-level density of states in states/eV per atom: 0.00
Total magnetization in μB/cell: 3.07
Raw total energy in eV/cell: -57.7